Computed, not measured: an optimized crystal structure of SrBr3N at the PBE level of DFT.

Cell: 6.329 7.743 7.747 Å, 105.27 107.35 109.32°
Space group P-1 (No. 2)
Unique sites:
1 Sr 0.250 0.142 0.331 x2
2 Br 0.230 0.878 0.588 x2
3 Br 0.268 0.537 0.288 x2
4 Br 0.272 0.216 0.958 x2
5 N 0.246 0.824 0.036 x2

Crystal system: triclinic
Calculated total energy (eV/atom): -3.126
Total moment (μB per formula unit): 3.0
Uncorrected formation energy (eV/atom): -0.121